VASP calculation (GGA-PBEsol) on a geometry-optimized YCrMo2 structure.

Lattice parameters (Å, degrees): 3.111 3.111 7.047 90.00 90.00 90.00
Last column: magnetic moment on the atom in μB.
Sites, in units of the cell vectors:
Cr 0.500 0.500 0.802  0.55
Y 0.000 0.000 0.508  -0.02
Mo 0.500 0.500 0.201  0.12
Mo 0.000 0.000 0.989  -0.12

Results
total magnetic moment: 0.55 Bohr magnetons per cell
E: -9.798 eV/atom
space group: P4mm, No. 99
energy above the lowest structure with this stoichiometry: 0.000 eV/atom

---

VASP calculation (GGA-PBEsol) on a geometry-optimized YCrMo2 structure.

Lattice parameters (Å, degrees): 2.800 2.800 8.988 90.00 90.00 110.87
Sites, in units of the cell vectors:
Mo 0.000 0.000 0.013
Mo 0.500 0.500 0.777
Cr 0.500 0.500 0.221
Y 0.000 0.000 0.489

Results
total magnetic moment: 0.00 Bohr magnetons per cell
E: -9.684 eV/atom
space group: Cmm2, No. 35
energy above the lowest structure with this stoichiometry: 0.114 eV/atom

---

VASP calculation (GGA-PBEsol) on a geometry-optimized Y2CrMo structure.

Lattice parameters (Å, degrees): 3.361 4.952 5.813 115.21 106.80 90.00
Sites, in units of the cell vectors:
Y 0.767 0.267 0.535
Y 0.987 0.987 0.974
Mo 0.203 0.703 0.406
Cr 0.543 0.543 0.086

Results
total magnetic moment: 0.00 Bohr magnetons per cell
E: -8.607 eV/atom
space group: Imm2, No. 44

---

VASP calculation (GGA-PBEsol) on a geometry-optimized ZnCr2Mo structure.

Lattice parameters (Å, degrees): 3.079 4.143 4.786 115.65 108.76 90.00
Sites, in units of the cell vectors:
Cr 0.762 0.762 0.525
Cr 0.238 0.238 0.475
Mo 0.500 0.000 0.000
Zn 0.000 0.500 0.000

Results
total magnetic moment: 0.00 Bohr magnetons per cell
E: -8.200 eV/atom
space group: Immm, No. 71

---

Formation enthalpy at 0 K values, unit eV per atom, following the record order: 0.35; 0.47; 0.31; 0.26.